(1)
DFT (GGA-PBE) results for a relaxed Ce3PmNd2N6 crystal.

Cell: 6.2334 6.2334 6.2325 Å, 99.60 99.60 119.99°
Fractional coordinates of all 12 atoms:
1 Ce 0.0000 0.0000 0.0000
2 Ce 0.3335 0.6665 0.0000
3 Ce 0.6665 0.3335 0.0000
4 Pm 0.5000 0.5000 0.5000
5 Nd 0.1667 0.8333 0.5000
6 Nd 0.8333 0.1667 0.5000
7 N 0.0805 0.4116 0.2348
8 N 0.2573 0.2573 0.7652
9 N 0.4116 0.0805 0.2348
10 N 0.5884 0.9195 0.7652
11 N 0.7427 0.7427 0.2348
12 N 0.9195 0.5884 0.7652

---

(2)
DFT (GGA-PBE) results for a relaxed CePmNdN3 crystal.

Cell: 6.1818 3.5530 9.3206 Å, 90.00 101.36 90.00°
Fractional coordinates of all 12 atoms:
1 Ce 0.1525 0.2500 0.1406
2 Ce 0.8475 0.7500 0.8594
3 Pm 0.3375 0.2500 0.8046
4 Pm 0.6625 0.7500 0.1954
5 Nd 0.2328 0.7500 0.4534
6 Nd 0.7672 0.2500 0.5466
7 N 0.0435 0.7500 0.6628
8 N 0.2574 0.7500 0.0047
9 N 0.4592 0.2500 0.3240
10 N 0.5408 0.7500 0.6760
11 N 0.7426 0.2500 0.9953
12 N 0.9565 0.2500 0.3372

---

(3)
DFT (GGA-PBE) results for a relaxed CePmNd2N4 crystal.

Cell: 6.2512 3.6200 6.2567 Å, 90.00 109.33 90.00°
Fractional coordinates of all 8 atoms:
1 Ce 0.0000 0.0000 0.0000
2 Pm 0.5000 0.5000 0.0000
3 Nd 0.0000 0.5000 0.5000
4 Nd 0.5000 0.0000 0.5000
5 N 0.2401 0.5000 0.2381
6 N 0.2445 0.0000 0.7593
7 N 0.7555 0.0000 0.2407
8 N 0.7599 0.5000 0.7619

---

(4)
DFT (GGA-PBE) results for a relaxed Ce2PrNd3N6 crystal.

Cell: 6.2795 6.2795 6.2759 Å, 99.61 99.61 120.00°
Fractional coordinates of all 12 atoms:
1 Ce 0.1667 0.8333 0.0000
2 Ce 0.8333 0.1667 0.0000
3 Pr 0.5000 0.5000 0.0000
4 Nd 0.0000 0.0000 0.5000
5 Nd 0.3331 0.6669 0.5000
6 Nd 0.6669 0.3331 0.5000
7 N 0.0741 0.4202 0.7605
8 N 0.2330 0.2330 0.2384
9 N 0.4202 0.0741 0.7605
10 N 0.5798 0.9259 0.2395
11 N 0.7670 0.7670 0.7616
12 N 0.9259 0.5798 0.2395

---

(5)
DFT (GGA-PBE) results for a relaxed CePrNdN3 crystal.

Cell: 6.2076 3.5956 9.3773 Å, 90.00 101.52 90.00°
Fractional coordinates of all 12 atoms:
1 Ce 0.1498 0.2500 0.1427
2 Ce 0.8502 0.7500 0.8573
3 Pr 0.3385 0.2500 0.8039
4 Pr 0.6615 0.7500 0.1961
5 Nd 0.2330 0.7500 0.4542
6 Nd 0.7670 0.2500 0.5458
7 N 0.0428 0.7500 0.6618
8 N 0.2498 0.7500 0.0077
9 N 0.4559 0.2500 0.3263
10 N 0.5441 0.7500 0.6737
11 N 0.7502 0.2500 0.9923
12 N 0.9572 0.2500 0.3382

---

(6)
DFT (GGA-PBE) results for a relaxed CePr2NdN4 crystal.

Cell: 6.3010 3.6478 6.3077 Å, 90.00 109.32 90.00°
Fractional coordinates of all 8 atoms:
1 Ce 0.0000 0.0000 0.0000
2 Pr 0.0000 0.5000 0.5000
3 Pr 0.5000 0.0000 0.5000
4 Nd 0.5000 0.5000 0.0000
5 N 0.2376 0.5000 0.2358
6 N 0.2432 0.0000 0.7605
7 N 0.7568 0.0000 0.2395
8 N 0.7624 0.5000 0.7642

---

(7)
DFT (GGA-PBE) results for a relaxed Ce3Pr2NdN6 crystal.

Cell: 6.2604 6.2604 6.2681 Å, 99.59 99.59 119.99°
Fractional coordinates of all 12 atoms:
1 Ce 0.0000 0.0000 0.0000
2 Ce 0.3335 0.6665 0.0000
3 Ce 0.6665 0.3335 0.0000
4 Pr 0.1667 0.8333 0.5000
5 Pr 0.8333 0.1667 0.5000
6 Nd 0.5000 0.5000 0.5000
7 N 0.0791 0.4102 0.2308
8 N 0.2586 0.2586 0.7691
9 N 0.4102 0.0791 0.2308
10 N 0.5898 0.9209 0.7692
11 N 0.7414 0.7414 0.2309
12 N 0.9209 0.5898 0.7692

---

(8)
DFT (GGA-PBE) results for a relaxed Ce3PrNd4N8 crystal.

Cell: 7.2370 7.2370 7.2370 Å, 60.04 60.04 60.04°
Fractional coordinates of all 16 atoms:
1 Ce 0.0000 0.5000 0.5000
2 Ce 0.5000 0.0000 0.5000
3 Ce 0.5000 0.5000 0.0000
4 Pr 0.0000 0.0000 0.0000
5 Nd 0.0000 0.0000 0.5000
6 Nd 0.0000 0.5000 0.0000
7 Nd 0.5000 0.0000 0.0000
8 Nd 0.5000 0.5000 0.5000
9 N 0.2509 0.2509 0.7365
10 N 0.2509 0.7365 0.2509
11 N 0.2550 0.2550 0.2550
12 N 0.2635 0.7491 0.7491
13 N 0.7365 0.2509 0.2509
14 N 0.7450 0.7450 0.7450
15 N 0.7491 0.2635 0.7491
16 N 0.7491 0.7491 0.2635

---

Number 1: electronic total energy -99.64 eV per cell. Number 2: electronic total energy -95.98 eV per cell. Number 3: electronic total energy -65.01 eV per cell. Number 4: electronic total energy -97.96 eV per cell. Number 5: electronic total energy -95.81 eV per cell. Number 6: electronic total energy -64.61 eV per cell. Number 7: electronic total energy -99.29 eV per cell. Number 8: electronic total energy -131.05 eV per cell.